Entry 1:
The following is a DFT calculation (PBE-GGA) of a relaxed CaTe3Pt crystal.

Raw total energy: -19.11 eV/cell
Polymorph energy (0 for the lowest one): 0 meV per atom
Energy relative to the elements, uncorrected: -0.3290 eV/atom

a = 5.3889 Å, b = 5.3889 Å, c = 5.3889 Å
α = 90.00°, β = 90.00°, γ = 90.00°
Fractional positions:
Ca 0.5000 0.5000 0.5000
Te 0.0000 0.5000 0.0000
Te 0.0000 0.0000 0.5000
Te 0.5000 0.0000 0.0000
Pt 0.0000 0.0000 0.0000



Entry 2:
The following is a DFT calculation (PBE-GGA) of a relaxed TmPaReRu crystal.

Raw total energy: -36.58 eV/cell
Energy relative to the elements: -222 meV per atom

a = 4.8316 Å, b = 4.8316 Å, c = 4.8316 Å
α = 60.00°, β = 60.00°, γ = 60.00°
Fractional positions:
Re 0.0000 0.0000 0.0000
Pa 0.2500 0.2500 0.2500
Tm 0.7500 0.7500 0.7500
Ru 0.5000 0.5000 0.5000



Entry 3:
The following is a DFT calculation (PBE-GGA) of a relaxed Li2Ca2Tl3 crystal.

Raw total energy: -17.11 eV/cell
Polymorph energy (0 for the lowest one): 0 meV per atom
Energy relative to the elements: -312 meV per atom

a = 13.8075 Å, b = 13.8075 Å, c = 3.5734 Å
α = 90.00°, β = 90.00°, γ = 164.72°
Fractional positions:
Li 0.2865 0.7135 0.5000
Li 0.7135 0.2865 0.5000
Ca 0.4195 0.5805 0.5000
Ca 0.5805 0.4195 0.5000
Tl 0.1647 0.8353 0.0000
Tl 0.0000 0.0000 0.0000
Tl 0.8353 0.1647 0.0000



Entry 4:
The following is a DFT calculation (PBE-GGA) of a relaxed GeSbTe2Au crystal.

Raw total energy: -14.60 eV/cell
Polymorph energy (0 for the lowest one): 104 meV per atom
Energy relative to the elements, uncorrected: 0.7400 eV/atom

a = 5.3431 Å, b = 5.3431 Å, c = 5.3818 Å
α = 90.00°, β = 90.00°, γ = 90.00°
Fractional positions:
Sb 0.0000 0.0000 0.5000
Ge 0.0000 0.0000 0.0000
Te 0.0000 0.5000 0.0000
Te 0.5000 0.0000 0.0000
Au 0.5000 0.5000 0.5000